Record 1
A plane-wave DFT calculation with GGA-PBE was carried out for crystalline Ti3ZnN at its relaxed geometry.

Calculated values
- relative energy among the computed polymorphs (meV/atom) = 455
- raw formation energy (eV/atom) = -0.4440

Cell lengths 3.416, 3.416, 15.661 Å; angles 90.00, 90.00, 120.00 degrees
Positions (direct):
Ti1 0.000 0.000 0.250
Ti2 0.000 0.000 0.750
Ti3 0.333 0.667 0.118
Ti4 0.333 0.667 0.382
Ti5 0.667 0.333 0.618
Ti6 0.667 0.333 0.882
Zn1 0.000 0.000 0.000
Zn2 0.000 0.000 0.500
N1 0.333 0.667 0.250
N2 0.667 0.333 0.750



Record 2
A plane-wave DFT calculation with GGA-PBE was carried out for crystalline Na2TbPaTe4 at its relaxed geometry.

Calculated values
- raw formation energy (eV/atom) = -1.0689

Cell lengths 7.641, 4.358, 8.089 Å; angles 90.00, 107.98, 90.00 degrees
Positions (direct):
Na1 0.000 0.000 0.000
Na2 0.500 0.500 0.000
Tb1 0.000 0.500 0.500
Pa1 0.500 0.000 0.500
Te1 0.245 0.000 0.736
Te2 0.252 0.500 0.262
Te3 0.748 0.500 0.738
Te4 0.755 0.000 0.264



Record 3
A plane-wave DFT calculation with GGA-PBE was carried out for crystalline PmZr2NbO8 at its relaxed geometry.

Calculated values
- raw formation energy (eV/atom) = -3.0987

Cell lengths 4.976, 6.690, 4.978 Å; angles 90.00, 90.86, 90.00 degrees
Positions (direct):
Pm1 0.000 0.000 0.000
Zr1 0.500 0.253 0.500
Zr2 0.500 0.747 0.500
Nb1 0.000 0.500 0.000
O1 0.198 0.283 0.197
O2 0.198 0.717 0.197
O3 0.295 0.500 0.704
O4 0.321 0.000 0.677
O5 0.679 0.000 0.323
O6 0.705 0.500 0.296
O7 0.802 0.283 0.803
O8 0.802 0.717 0.803



no.,volume (Å³ per cell),density of states at the Fermi level (states/eV/atom)
1,158,1.01
2,256,0.95
3,166,0.00